Compound: RbNa2CrF8
Source: Alexandria via LeMat-Bulk
Functional: PBE with a Hubbard U
Structure: relaxed

The structure in CIF format:
```
data_RbNa2CrF8
_cell_length_a 4.657
_cell_length_b 5.201
_cell_length_c 7.642
_cell_angle_alpha 91.45
_cell_angle_beta 96.27
_cell_angle_gamma 91.05
_space_group_name_H-M_alt 'P -1'
_space_group_IT_number 2
loop_
_space_group_symop_operation_xyz
'x,y,z'
'-x,-y,-z'
loop_
_atom_site_label
_atom_site_type_symbol
_atom_site_fract_x
_atom_site_fract_y
_atom_site_fract_z
Rb1 Rb 0.000 0.000 0.000
Na1 Na 0.479 0.497 0.725
Cr1 Cr 0.000 0.000 0.500
F1 F 0.192 0.818 0.340
F2 F 0.233 0.288 0.476
F3 F 0.257 0.893 0.687
F4 F 0.261 0.495 0.996
```

Raw total energy (eV/atom): -4.59
Total magnetization (μB per formula unit): 2.177